Entry 1:
GGA-PBE MnBe2Cl6, optimized geometry; formation energy from raw total energies = -1116 kJ/mol of formula units
1.0
-3.062 -2.359 4.470
8.642 0.453 2.690
-0.855 8.995 0.692
Cl Mn Be
12 2 4
Direct
0.891 0.182 0.571
0.883 0.380 0.261
0.617 0.739 0.620
0.109 0.818 0.429
0.391 0.571 0.182
0.090 0.215 0.005
0.117 0.620 0.739
0.910 0.785 0.995
0.383 0.261 0.380
0.590 0.005 0.215
0.609 0.429 0.818
0.410 0.995 0.785
0.250 0.785 0.215
0.750 0.215 0.785
0.180 0.355 0.203
0.680 0.203 0.355
0.320 0.797 0.645
0.820 0.645 0.797



Entry 2:
GGA-PBE MnBeCl2, optimized geometry; formation energy from raw total energies = 81 kJ/mol of formula units; E above lowest polymorph = 680.7 meV/atom
1.0
-1.264 -2.846 0.362
2.730 -1.072 1.107
-2.565 2.219 8.478
Cl Be Mn
2 1 1
Direct
0.000 0.000 0.419
0.000 0.000 0.081
0.500 0.500 0.750
0.500 0.500 0.250



Entry 3:
GGA-PBE MnBeCl2, optimized geometry; formation energy from raw total energies = 113 kJ/mol of formula units; E above lowest polymorph = 763.2 meV/atom
1.0
-0.147 3.593 3.442
-4.148 -1.990 1.900
0.511 -1.919 5.624
Mn Be Cl
2 2 4
Direct
0.750 0.250 0.500
0.000 0.000 0.000
0.250 0.750 0.500
0.500 0.500 0.000
0.593 0.125 0.250
0.875 0.843 0.750
0.375 0.407 0.750
0.157 0.625 0.250



Entry 4:
GGA-PBE Mn2BeCl, optimized geometry; formation energy from raw total energies = 190 kJ/mol of formula units; E above lowest polymorph = 363.3 meV/atom
1.0
4.536 -0.006 0.000
-1.227 4.367 0.000
0.000 0.000 2.877
Be Mn Cl
1 2 1
Direct
0.500 0.000 0.500
0.500 0.500 0.000
0.000 0.000 0.000
0.000 0.500 0.500



Entry 5:
GGA-PBE MnBe3Cl, optimized geometry; formation energy from raw total energies = 675 kJ/mol of formula units; E above lowest polymorph = 185.1 meV/atom
1.0
-1.866 -3.411 0.764
3.210 -2.015 -1.157
1.384 0.074 3.712
Be Mn Cl
3 1 1
Direct
0.000 0.500 0.000
0.000 0.000 0.500
0.500 0.000 0.000
0.500 0.500 0.500
0.000 0.000 0.000



Entry 6:
GGA-PBE MnBeCl2, optimized geometry; formation energy from raw total energies = -112 kJ/mol of formula units; E above lowest polymorph = 180.5 meV/atom
1.0
5.472 7.626 3.228
6.823 7.197 0.398
4.210 8.965 0.653
Be Mn Cl
1 1 2
Direct
0.500 0.500 0.500
0.000 0.000 0.000
0.877 0.877 0.877
0.123 0.123 0.123



- The lowest formation energy from raw total energies belongs to which entry?
  MnBe2Cl6



- Among the records above, which one has the lowest formation energy from raw total energies?
  MnBe2Cl6



- Which formula does entry 3 have?
  MnBeCl2